No. 1
First-principles (GGA-PBE) data for MgGeClF6 after structural relaxation, as listed in the Alexandria database.

```
MgGeClF6
1.0
5.237 0.000 0.000
-2.619 4.536 0.000
0.000 0.000 6.951
Mg Ge Cl F
1 1 1 6
direct
0.000 0.000 0.000 Mg
0.333 0.667 0.000 Ge
0.667 0.333 0.500 Cl
0.056 0.361 0.147 F
0.056 0.695 0.853 F
0.305 0.361 0.853 F
0.305 0.944 0.147 F
0.639 0.695 0.147 F
0.639 0.944 0.853 F
```

Results
space group: P312 (149)

---

No. 2
First-principles (GGA-PBE) data for Mg2GeClF after structural relaxation, as listed in the Alexandria database.

```
Mg2GeClF
1.0
5.126 0.000 0.000
0.000 5.126 0.000
0.000 0.000 4.265
Mg Ge Cl F
2 1 1 1
direct
0.000 0.500 0.000 Mg
0.500 0.000 0.000 Mg
0.000 0.000 0.000 Ge
0.500 0.500 0.500 Cl
0.000 0.000 0.500 F
```

Results
space group: P4/mmm (123)

---

No. 3
First-principles (GGA-PBE) data for GeNClF2 after structural relaxation, as listed in the Alexandria database.

```
GeNClF2
1.0
4.889 0.000 0.000
0.000 4.889 0.000
0.000 0.000 3.315
Ge N Cl F
1 1 1 2
direct
0.000 0.000 0.000 Ge
0.500 0.500 0.000 N
0.500 0.500 0.500 Cl
0.000 0.500 0.500 F
0.500 0.000 0.500 F
```

Results
space group: P4/mmm (123)

---

No. 4
First-principles (GGA-PBE) data for GeNClF2 after structural relaxation, as listed in the Alexandria database.

```
GeNClF2
1.0
3.864 0.000 0.000
0.000 3.864 0.000
0.000 0.000 4.036
Ge N Cl F
1 1 1 2
direct
0.000 0.000 0.000 Ge
0.000 0.000 0.500 N
0.500 0.500 0.500 Cl
0.000 0.500 0.000 F
0.500 0.000 0.000 F
```

Results
space group: P4/mmm (123)

---

Listing energy relative to the elements, uncorrected for the structures above in their given order: -2.336; -0.938; 0.431; -0.313 eV per atom.
Listing DOS(E_F) for the structures above in their given order: 1.140; 0.000; 2.747; 2.171 states/eV/cell.